1.
Nd6Tl3Pb: relaxed, GGA-PBE.

Unit cell a=10.3516 b=10.3516 c=7.0696 alpha=90.00 beta=90.00 gamma=121.15
Last column: nearest neighbours and their distance in Å.
Atoms (fractional coordinates):
Nd (0.0193, 0.9807, 0.5000)  2 Pb 3.21-3.40, 4 Tl 3.29-3.47
Nd (0.0884, 0.5382, 0.0319)  3 Tl 3.23-3.32, 1 Pb 3.34, 2 Nd 3.45-3.53
Nd (0.2495, 0.3633, 0.2888)  4 Tl 3.26-3.42, 1 Nd 3.53, 1 Pb 3.56
Nd (0.2983, 0.7017, 0.5263)  1 Pb 3.27, 1 Tl 3.40, 2 Nd 3.45
Nd (0.3633, 0.2495, 0.7888)  4 Tl 3.26-3.42, 1 Nd 3.53, 1 Pb 3.56
Nd (0.4618, 0.9116, 0.0319)  3 Tl 3.23-3.32, 1 Pb 3.34, 2 Nd 3.45-3.53
Nd (0.5382, 0.0884, 0.5319)  3 Tl 3.23-3.32, 1 Pb 3.34, 2 Nd 3.45-3.53
Nd (0.6367, 0.7505, 0.2888)  4 Tl 3.26-3.42, 1 Nd 3.53, 1 Pb 3.56
Nd (0.7017, 0.2983, 0.0263)  1 Pb 3.27, 1 Tl 3.40, 2 Nd 3.45
Nd (0.7505, 0.6367, 0.7888)  4 Tl 3.26-3.42, 1 Nd 3.53, 1 Pb 3.56
Nd (0.9116, 0.4618, 0.5319)  3 Tl 3.23-3.32, 1 Pb 3.34, 2 Nd 3.45-3.53
Nd (0.9807, 0.0193, 0.0000)  2 Pb 3.21-3.40, 4 Tl 3.29-3.47
Tl (0.0878, 0.3107, 0.7192)  6 Nd 3.23-3.47, 1 Tl 3.35
Tl (0.3107, 0.0878, 0.2192)  6 Nd 3.23-3.47, 1 Tl 3.35
Tl (0.4172, 0.5828, 0.8993)  7 Nd 3.29-3.42, 2 Tl 3.35
Tl (0.5828, 0.4172, 0.3993)  7 Nd 3.29-3.42, 2 Tl 3.35
Tl (0.6893, 0.9122, 0.7192)  6 Nd 3.23-3.47, 1 Tl 3.35
Tl (0.9122, 0.6893, 0.2192)  6 Nd 3.23-3.47, 1 Tl 3.35
Pb (0.1524, 0.8476, 0.8004)  7 Nd 3.21-3.56
Pb (0.8476, 0.1524, 0.3004)  7 Nd 3.21-3.56

Results
Calculated formation energy: -0.24 eV per atom
DOS at the Fermi energy: 18.06 states/eV/cell
Raw total energy: -4.183 eV/atom
SG: No. 36



2.
MgZr2ZnPb: relaxed, GGA-PBE.

Unit cell a=5.1620 b=5.1620 c=4.6536 alpha=90.00 beta=90.00 gamma=90.00
Last column: nearest neighbours and their distance in Å.
Atoms (fractional coordinates):
Mg (0.0000, 0.0000, 0.0000)  2 Zn 2.33, 4 Zr 2.58
Zr (0.0000, 0.5000, 0.0000)  2 Mg 2.58
Zr (0.5000, 0.0000, 0.0000)  2 Mg 2.58
Zn (0.0000, 0.0000, 0.5000)  2 Mg 2.33
Pb (0.5000, 0.5000, 0.5000)  8 Zr 3.47, 4 Zn 3.65

Results
Energy relative to the lowest polymorph listed for this composition: 486.6 meV per atom
Calculated formation energy: 0.75 eV per atom
DOS at the Fermi energy: 3.26 states/eV/cell
Raw total energy: -3.989 eV/atom
SG: No. 123



3.
RbCa2Cl5: relaxed, GGA-PBE.

Unit cell a=8.4962 b=8.4962 c=8.4962 alpha=150.72 beta=130.94 gamma=58.16
Last column: nearest neighbours and their distance in Å.
Atoms (fractional coordinates):
Rb (0.0000, 0.0000, 0.0000)  10 Cl 3.53-3.62
Ca (0.3163, 0.8163, 0.5000)  7 Cl 2.73-2.89
Ca (0.6837, 0.1837, 0.5000)  7 Cl 2.73-2.89
Cl (0.0828, 0.3412, 0.7416)  3 Ca 2.84-2.89
Cl (0.4004, 0.6588, 0.7416)  3 Ca 2.84-2.89
Cl (0.5000, 0.0000, 0.5000)  2 Ca 2.73
Cl (0.5996, 0.3412, 0.2584)  3 Ca 2.84-2.89
Cl (0.9172, 0.6588, 0.2584)  3 Ca 2.84-2.89

Results
DOS at the Fermi energy: 0.00 states/eV/cell
Raw total energy: -4.047 eV/atom
Uncorrected formation energy: -2.2714 eV/atom
SG: No. 71



4.
KTeIr2: relaxed, GGA-PBE.

Unit cell a=3.1573 b=3.1573 c=8.6018 alpha=90.00 beta=90.00 gamma=90.00
Last column: nearest neighbours and their distance in Å.
Atoms (fractional coordinates):
K (0.0000, 0.0000, 0.0000)  4 K 3.16, 8 Ir 3.50
Te (0.0000, 0.0000, 0.5000)  8 Ir 2.75
Ir (0.5000, 0.5000, 0.3139)  4 Te 2.75
Ir (0.5000, 0.5000, 0.6861)  4 Te 2.75

Results
DOS at the Fermi energy: 2.77 states/eV/cell
Raw total energy: -4.867 eV/atom
Uncorrected formation energy: 0.6229 eV/atom
SG: No. 123



5.
CoSnIr2: relaxed, GGA-PBE.

Unit cell a=3.9551 b=3.9551 c=3.8192 alpha=90.00 beta=90.00 gamma=90.00
Last column: nearest neighbours and their distance in Å.
Atoms (fractional coordinates):
Co (0.0000, 0.0000, 0.0000)  8 Ir 2.75, 4 Sn 2.80
Sn (0.5000, 0.5000, 0.0000)  8 Ir 2.75, 4 Co 2.80
Ir (0.0000, 0.5000, 0.5000)  4 Sn 2.75, 4 Co 2.75, 4 Ir 2.80
Ir (0.5000, 0.0000, 0.5000)  4 Sn 2.75, 4 Co 2.75, 4 Ir 2.80

Results
Calculated formation energy: 0.07 eV per atom
DOS at the Fermi energy: 5.36 states/eV/cell
Raw total energy: -7.142 eV/atom
SG: No. 123



6.
Th6Ge3AsS2: relaxed, GGA-PBE.

Unit cell a=9.3995 b=9.3995 c=8.3945 alpha=101.91 beta=101.91 gamma=26.09
Last column: nearest neighbours and their distance in Å.
Atoms (fractional coordinates):
Th (0.0016, 0.0016, 0.2520)  1 S 2.96, 3 Ge 2.98-3.00, 2 As 2.99
Th (0.3321, 0.3321, 0.4208)  3 S 2.96, 3 Ge 3.00-3.01
Th (0.3324, 0.3324, 0.9135)  2 S 2.96, 3 Ge 2.98-3.01, 1 As 3.00
Th (0.6676, 0.6676, 0.0865)  2 S 2.96, 3 Ge 2.98-3.01, 1 As 3.00
Th (0.6679, 0.6679, 0.5792)  3 S 2.96, 3 Ge 3.00-3.01
Th (0.9984, 0.9984, 0.7480)  1 S 2.96, 3 Ge 2.98-3.00, 2 As 2.99
Ge (0.1660, 0.1660, 0.8317)  6 Th 2.98-3.01
Ge (0.5000, 0.5000, 0.5000)  6 Th 2.98-3.01
Ge (0.8340, 0.8340, 0.1683)  6 Th 2.98-3.01
As (0.5000, 0.5000, 0.0000)  6 Th 2.99-3.00
S (0.1670, 0.1670, 0.3326)  6 Th 2.96
S (0.8330, 0.8330, 0.6674)  6 Th 2.96

Results
DOS at the Fermi energy: 6.44 states/eV/cell
Raw total energy: -7.183 eV/atom
Uncorrected formation energy: -1.2433 eV/atom
SG: No. 12



7.
FePbSe2N: relaxed, GGA-PBE.

Unit cell a=5.4901 b=5.4901 c=4.2265 alpha=90.00 beta=90.00 gamma=90.00
Last column: nearest neighbours and their distance in Å.
Atoms (fractional coordinates):
Fe (0.0000, 0.0000, 0.0000)  8 Se 3.46
Pb (0.5000, 0.5000, 0.5000)  2 N 2.11
Se (0.0000, 0.5000, 0.5000)  2 Pb 2.75
Se (0.5000, 0.0000, 0.5000)  2 Pb 2.75
N (0.5000, 0.5000, 0.0000)  2 Pb 2.11

Results
Energy relative to the lowest polymorph listed for this composition: 1317.4 meV per atom
DOS at the Fermi energy: 6.99 states/eV/cell
Raw total energy: -4.070 eV/atom
Uncorrected formation energy: 1.4232 eV/atom
SG: No. 123



8.
Dy3Er8Tm: relaxed, GGA-PBE.

Unit cell a=9.3034 b=9.3034 c=9.3034 alpha=131.85 beta=131.85 gamma=70.46
Last column: nearest neighbours and their distance in Å.
Atoms (fractional coordinates):
Dy (0.0000, 0.0000, 0.0000)  8 Er 3.29
Dy (0.2500, 0.7500, 0.5000)  8 Er 3.29
Dy (0.7500, 0.2500, 0.5000)  8 Er 3.29
Er (0.1257, 0.1257, 0.5009)  1 Tm 3.28, 3 Dy 3.29
Er (0.1257, 0.6248, 0.0000)  1 Tm 3.28, 3 Dy 3.29
Er (0.3752, 0.3752, 0.5009)  1 Tm 3.28, 3 Dy 3.29
Er (0.3752, 0.8743, 0.0000)  1 Tm 3.28, 3 Dy 3.29
Er (0.6248, 0.1257, 0.0000)  1 Tm 3.28, 3 Dy 3.29
Er (0.6248, 0.6248, 0.4991)  1 Tm 3.28, 3 Dy 3.29
Er (0.8743, 0.3752, 0.0000)  1 Tm 3.28, 3 Dy 3.29
Er (0.8743, 0.8743, 0.4991)  1 Tm 3.28, 3 Dy 3.29
Tm (0.5000, 0.5000, 0.0000)  8 Er 3.28

Results
Calculated formation energy: 0.73 eV per atom
DOS at the Fermi energy: 11.81 states/eV/cell
Raw total energy: -3.835 eV/atom
SG: No. 139



9.
SmMg2Cd2: relaxed, GGA-PBE.

Unit cell a=7.2128 b=7.2128 c=4.3871 alpha=107.50 beta=107.50 gamma=35.41
Last column: nearest neighbours and their distance in Å.
Atoms (fractional coordinates):
Sm (0.0000, 0.0000, 0.0000)  8 Cd 3.39-3.40
Mg (0.2500, 0.2500, 0.7505)  4 Cd 2.88-2.89, 4 Mg 3.10-3.11
Mg (0.7500, 0.7500, 0.2495)  4 Cd 2.88-2.89, 4 Mg 3.10-3.11
Cd (0.3938, 0.3938, 0.3933)  1 Cd 2.77, 4 Mg 2.88-2.89
Cd (0.6062, 0.6062, 0.6067)  1 Cd 2.77, 4 Mg 2.88-2.89

Results
Energy relative to the lowest polymorph listed for this composition: 9.1 meV per atom
Calculated formation energy: -0.18 eV per atom
DOS at the Fermi energy: 2.88 states/eV/cell
Raw total energy: -2.133 eV/atom
SG: No. 12



10.
Pr12Er2Th: relaxed, GGA-PBE.

Unit cell a=6.8990 b=6.8990 c=25.2951 alpha=90.00 beta=90.00 gamma=116.87
Last column: nearest neighbours and their distance in Å.
Atoms (fractional coordinates):
Pr (0.0013, 0.5013, 0.1268)  8 Pr 3.47-3.72, 2 Th 3.65-3.71
Pr (0.0020, 0.9980, 0.9268)  2 Th 3.47-3.48, 9 Pr 3.61-3.72
Pr (0.0189, 0.5189, 0.5867)  7 Pr 3.34-3.71
Pr (0.0247, 0.9753, 0.4401)  5 Pr 3.09-3.46
Pr (0.2500, 0.2500, 0.1998)  3 Pr 3.14-3.47
Pr (0.2500, 0.2500, 0.3240)  3 Pr 3.14-3.46
Pr (0.2500, 0.2500, 0.6760)  3 Pr 3.14-3.46
Pr (0.2500, 0.2500, 0.8002)  3 Pr 3.14-3.47
Pr (0.4753, 0.5247, 0.4401)  5 Pr 3.09-3.46
Pr (0.4811, 0.9811, 0.5867)  7 Pr 3.34-3.71
Pr (0.4980, 0.5020, 0.9268)  2 Th 3.47-3.48, 9 Pr 3.61-3.72
Pr (0.4987, 0.9987, 0.1268)  8 Pr 3.47-3.72, 2 Th 3.65-3.71
Pr (0.5013, 0.0013, 0.8732)  8 Pr 3.47-3.72, 2 Th 3.65-3.71
Pr (0.5020, 0.4980, 0.0732)  2 Th 3.47-3.48, 9 Pr 3.61-3.72
Pr (0.5189, 0.0189, 0.4133)  7 Pr 3.34-3.71
Pr (0.5247, 0.4753, 0.5599)  5 Pr 3.09-3.46
Pr (0.7500, 0.7500, 0.1998)  3 Pr 3.14-3.47
Pr (0.7500, 0.7500, 0.3240)  3 Pr 3.14-3.46
Pr (0.7500, 0.7500, 0.6760)  3 Pr 3.14-3.46
Pr (0.7500, 0.7500, 0.8002)  3 Pr 3.14-3.47
Pr (0.9753, 0.0247, 0.5599)  5 Pr 3.09-3.46
Pr (0.9811, 0.4811, 0.4133)  7 Pr 3.34-3.71
Pr (0.9980, 0.0020, 0.0732)  2 Th 3.47-3.48, 9 Pr 3.61-3.72
Pr (0.9987, 0.4987, 0.8732)  8 Pr 3.47-3.72, 2 Th 3.65-3.71
Er (0.2500, 0.7500, 0.2701)  2 Er 3.61, 8 Pr 3.71-3.88
Er (0.2500, 0.7500, 0.7333)  2 Er 3.61, 10 Pr 3.74-3.98
Er (0.7500, 0.2500, 0.2667)  2 Er 3.61, 10 Pr 3.74-3.98
Er (0.7500, 0.2500, 0.7299)  2 Er 3.61, 8 Pr 3.71-3.88
Th (0.2500, 0.7500, 0.0011)  8 Pr 3.47-3.71, 2 Th 3.61
Th (0.7500, 0.2500, 0.9989)  8 Pr 3.47-3.71, 2 Th 3.61

Results
Calculated formation energy: 0.17 eV per atom
DOS at the Fermi energy: 45.40 states/eV/cell
Raw total energy: -4.754 eV/atom
SG: No. 67



11.
AlAsO: relaxed, GGA-PBE.

Unit cell a=2.9745 b=2.9749 c=6.7667 alpha=89.68 beta=89.92 gamma=60.02
Last column: nearest neighbours and their distance in Å.
Atoms (fractional coordinates):
Al (0.0000, 0.0000, 0.0000)  3 O 1.83
As (0.0009, 0.0047, 0.6375)  1 Al 2.45
O (0.6671, 0.6652, 0.0926)  3 Al 1.83

Results
Energy relative to the lowest polymorph listed for this composition: 132.7 meV per atom
DOS at the Fermi energy: 0.86 states/eV/cell
Raw total energy: -5.964 eV/atom
Uncorrected formation energy: -1.5138 eV/atom
SG: No. 1